CrInSb2P | Alexandria | PBE-GGA | optimized geometry; E_form (uncorrected) = 1.241 eV per atom; calculated volume = 134 Å³/f.u.; Fermi-level density of states = 1.35 states/eV/atom
1.0
5.243 0.000 0.000
0.000 5.243 0.000
0.000 0.000 4.864
Cr In Sb P
1 1 2 1
direct
0.000 0.000 0.000 Cr
0.500 0.500 0.000 In
0.000 0.500 0.500 Sb
0.500 0.000 0.500 Sb
0.500 0.500 0.500 P

CrInSiP | Alexandria | PBE-GGA | optimized geometry; energy above the most stable polymorph in this dataset = 0.000 eV/atom; E_form (uncorrected) = -0.023 eV per atom; calculated volume = 67 Å³/f.u.; Fermi-level density of states = 0.53 states/eV/atom
1.0
3.027 0.000 0.000
-1.514 2.622 0.000
0.000 0.000 25.502
Cr In Si P
3 3 3 3
direct
0.000 0.000 0.000 Cr
0.333 0.667 0.667 Cr
0.667 0.333 0.333 Cr
0.000 0.000 0.495 In
0.333 0.667 0.162 In
0.667 0.333 0.828 In
0.000 0.000 0.600 Si
0.333 0.667 0.267 Si
0.667 0.333 0.933 Si
0.000 0.000 0.390 P
0.333 0.667 0.057 P
0.667 0.333 0.724 P

CrInSiP | Alexandria | PBE-GGA | optimized geometry; energy above the most stable polymorph in this dataset = 0.132 eV/atom; E_form (uncorrected) = 0.108 eV per atom; calculated volume = 64 Å³/f.u.; Fermi-level density of states = 0.70 states/eV/atom
1.0
3.075 0.000 0.000
0.000 3.020 0.000
0.000 0.000 13.712
Cr In Si P
2 2 2 2
direct
0.000 0.000 0.000 Cr
0.000 0.500 0.500 Cr
0.500 0.000 0.355 In
0.500 0.500 0.855 In
0.000 0.000 0.178 Si
0.000 0.500 0.678 Si
0.500 0.000 0.569 P
0.500 0.500 0.069 P

CrInSiP | Alexandria | PBE-GGA | optimized geometry; energy above the most stable polymorph in this dataset = 0.043 eV/atom; E_form (uncorrected) = 0.020 eV per atom; calculated volume = 69 Å³/f.u.; Fermi-level density of states = 0.46 states/eV/atom
1.0
2.945 0.000 0.000
0.000 3.825 0.000
0.000 0.000 12.167
Cr In Si P
2 2 2 2
direct
0.000 0.000 0.000 Cr
0.000 0.500 0.500 Cr
0.500 0.000 0.799 In
0.500 0.500 0.299 In
0.500 0.000 0.492 Si
0.500 0.500 0.992 Si
0.500 0.000 0.145 P
0.500 0.500 0.645 P

CrInSiP | Alexandria | PBE-GGA | optimized geometry; energy above the most stable polymorph in this dataset = 0.046 eV/atom; E_form (uncorrected) = 0.022 eV per atom; calculated volume = 69 Å³/f.u.; Fermi-level density of states = 0.51 states/eV/atom
1.0
7.518 0.000 0.000
0.000 3.295 0.000
-0.108 0.000 5.607
Cr In Si P
2 2 2 2
direct
0.000 0.000 0.000 Cr
0.500 0.500 0.000 Cr
0.499 0.500 0.520 In
0.999 0.000 0.520 In
0.199 0.500 0.208 Si
0.699 0.000 0.208 Si
0.294 0.000 0.921 P
0.794 0.500 0.921 P

CrInSiP | Alexandria | PBE-GGA | optimized geometry; energy above the most stable polymorph in this dataset = 0.220 eV/atom; E_form (uncorrected) = 0.197 eV per atom; calculated volume = 68 Å³/f.u.; Fermi-level density of states = 0.67 states/eV/atom
1.0
3.316 0.000 0.000
0.000 3.443 0.000
-0.007 -1.694 5.972
Cr In Si P
1 1 1 1
direct
0.000 0.000 0.000 Cr
0.499 0.375 0.746 In
0.001 0.641 0.288 Si
0.501 0.140 0.290 P